1.
DFT (GGA-PBE) results for TaCoHg2 after structural relaxation.

Lattice parameters (Å, degrees): 4.9331 4.9331 2.9820 90.00 90.00 90.00
Site moments in Bohr magnetons follow the coordinates.
Fractional positions:
Hg 0.0000 0.0000 0.0000  0.01
Hg 0.5000 0.5000 0.0000  0.01
Ta 0.5000 0.0000 0.5000  0.07
Co 0.0000 0.5000 0.5000  1.72

Properties
Space group: P4/mmm
Energy of formation from the pure elements, eV per formula unit: 2.6

2.
DFT (GGA-PBE) results for TaCo4Hg after structural relaxation.

Lattice parameters (Å, degrees): 4.8046 4.8046 4.8046 60.00 60.00 60.00
Site moments in Bohr magnetons follow the coordinates.
Fractional positions:
Ta 0.0000 0.0000 0.0000  -0.31
Co 0.3748 0.3748 0.3748  0.91
Co 0.3748 0.8757 0.3748  0.91
Co 0.3748 0.3748 0.8757  0.91
Co 0.8757 0.3748 0.3748  0.91
Hg 0.7500 0.7500 0.7500  -0.03

Properties
Space group: F-43m
Energy of formation from the pure elements, eV per formula unit: 0.3

3.
DFT (GGA-PBE) results for Ta4CoHg after structural relaxation.

Lattice parameters (Å, degrees): 5.4141 5.4141 5.4141 60.00 60.00 60.00
Site moments in Bohr magnetons follow the coordinates.
Fractional positions:
Ta 0.8739 0.3754 0.3754  -0.05
Ta 0.3754 0.3754 0.3754  -0.05
Ta 0.3754 0.3754 0.8739  -0.05
Ta 0.3754 0.8739 0.3754  -0.05
Co 0.7500 0.7500 0.7500  1.17
Hg 0.0000 0.0000 0.0000  -0.01

Properties
Space group: F-43m
Energy of formation from the pure elements, eV per formula unit: 3.9

4.
DFT (GGA-PBE) results for TaCoHg after structural relaxation.

Lattice parameters (Å, degrees): 3.1393 3.1393 6.2428 90.00 90.00 120.00
Fractional positions:
Ta 0.3333 0.6667 0.7157
Co 0.0000 0.0000 0.9667
Hg 0.6667 0.3333 0.3176

Properties
Space group: P3m1
Energy of formation from the pure elements, eV per formula unit: 0.9

5.
DFT (GGA-PBE) results for TaCoHg2 after structural relaxation.

Lattice parameters (Å, degrees): 4.5141 2.8700 5.6909 75.60 90.00 90.00
Site moments in Bohr magnetons follow the coordinates.
Fractional positions:
Hg 0.0000 0.9046 0.9895  -0.01
Hg 0.0000 0.5954 0.5105  -0.01
Ta 0.5000 0.2500 0.2500  -0.04
Co 0.5000 0.7500 0.7500  1.50

Properties
Space group: P2/m
Energy of formation from the pure elements, eV per formula unit: 2.2

6.
DFT (GGA-PBE) results for TaCoHg2 after structural relaxation.

Lattice parameters (Å, degrees): 4.9654 4.9654 4.9654 130.24 130.24 73.03
Site moments in Bohr magnetons follow the coordinates.
Fractional positions:
Co 0.7500 0.2500 0.5000  0.88
Ta 0.2500 0.7500 0.5000  -0.05
Hg 0.5000 0.5000 0.0000  -0.01
Hg 0.0000 0.0000 0.0000  -0.01

Properties
Space group: I4/mmm
Energy of formation from the pure elements, eV per formula unit: 2.3

energy of formation from the pure elements of number 1 (TaCoHg2)?
2.6 eV per formula unit

Which formula does entry 1 have?
TaCoHg2

Number 4 is which compound?
TaCoHg